Computed, not measured: PmUTe4 after structural relaxation at the PBE level of DFT.

Unit cell a=7.5663 b=7.5928 c=7.5736 alpha=90.00 beta=86.89 gamma=90.00
Element x y z (fractional)
1 Pm 0.5000 0.0000 0.5000
2 Pm 0.0000 0.5000 0.5000
3 U 0.0000 0.0000 0.0000
4 U 0.5000 0.5000 0.0000
5 Te 0.8276 0.6628 0.1501
6 Te 0.6724 0.1628 0.8499
7 Te 0.3664 0.3539 0.3426
8 Te 0.1336 0.8539 0.6574
9 Te 0.1724 0.3372 0.8499
10 Te 0.3276 0.8372 0.1501
11 Te 0.6336 0.6461 0.6574
12 Te 0.8664 0.1461 0.3426

Computed properties:
Mass density in Mg/m³: 6.83
N(E_F) in states/eV/f.u.: 2.55
Crystal system: monoclinic
Calculated volume in Å³/atom: 36.20
Electronic total energy in eV per atom: -5.485
Energy relative to the elements, uncorrected in meV/atom: -717